# 1
## Cs3HoAg2Br9 (PBE-GGA)

Data for a geometry-optimized Cs3HoAg2Br9 structure.

Calculated values
Energy relative to the elements, uncorrected ... -1.34 eV/atom
Theoretical density ... 4.66 g/cm3
Final energy ... -3.195 eV/atom
M_tot ... 0.0 μB/cell

Unit cell a=7.9228 b=7.9228 c=9.8232 alpha=90.00 beta=90.00 gamma=120.00
Positions (direct):
Cs 0.3333 0.6667 0.6779
Cs 0.0000 0.0000 0.0000
Cs 0.6667 0.3333 0.3221
Ho 0.0000 0.0000 0.5000
Ag 0.3333 0.6667 0.1528
Ag 0.6667 0.3333 0.8472
Br 0.8339 0.1661 0.6632
Br 0.8339 0.6678 0.6632
Br 0.3322 0.1661 0.6632
Br 0.6678 0.8339 0.3368
Br 0.1661 0.3322 0.3368
Br 0.1661 0.8339 0.3368
Br 0.5000 0.0000 0.0000
Br 0.0000 0.5000 0.0000
Br 0.5000 0.5000 0.0000



# 2
## Ta2HIr (PBE-GGA)

Data for a geometry-optimized Ta2HIr structure.

Calculated values
Distance to the lowest polymorph of the same formula ... 0.4165 eV/atom
Theoretical density ... 15.53 g/cm3
Final energy ... -8.778 eV/atom
M_tot ... 0.0 μB/cell

Unit cell a=4.3789 b=4.3789 c=4.3789 alpha=60.00 beta=60.00 gamma=60.00
Positions (direct):
H 0.0000 0.0000 0.0000
Ir 0.5000 0.5000 0.5000
Ta 0.2500 0.2500 0.2500
Ta 0.7500 0.7500 0.7500